(1)
Computed, not measured: Pr2YZn2 after structural relaxation at the PBE level of DFT.

## Properties
DOS(E_F)	12.72	states/eV per cell
offset from the most stable computed form	57	meV per atom
total moment	0.001	μB per cell
DFT formation energy	-145	meV per atom

abc: 4.6262 4.3990 13.6770
angles: 90.00 99.23 90.00
Space group P2_1/m (No. 11)
Unique sites:
Pr 0.0537 0.2500 0.1108 (multiplicity 2)
Pr 0.2633 0.7500 0.5288 (multiplicity 2)
Y 0.3643 0.2500 0.7305 (multiplicity 2)
Zn 0.1696 0.2500 0.3324 (multiplicity 2)
Zn 0.4759 0.2500 0.9497 (multiplicity 2)

(2)
Computed, not measured: HgPt2Br after structural relaxation at the PBE level of DFT.

## Properties
DOS(E_F)	3.25	states/eV per cell
energy relative to the elements, uncorrected	0.53	eV per atom
offset from the most stable computed form	389	meV per atom
total moment	0.000	μB per cell

abc: 4.4306 4.4306 3.8090
angles: 90.00 90.00 90.00
Space group P4/mmm (No. 123)
Unique sites:
Hg 0.0000 0.0000 0.0000 (multiplicity 1)
Pt 0.0000 0.5000 0.5000 (multiplicity 2)
Br 0.5000 0.5000 0.0000 (multiplicity 1)

(3)
Computed, not measured: CrAg3S4 after structural relaxation at the PBE level of DFT.

## Properties
DOS(E_F)	5.97	states/eV per cell
energy relative to the elements, uncorrected	-0.22	eV per atom
total moment	1.984	μB per cell

abc: 5.6942 5.6942 10.9472
angles: 90.00 90.00 90.00
Space group I-42m (No. 121)
Unique sites:
Cr 0.0000 0.0000 0.0000 (multiplicity 2)
Ag 0.0000 0.0000 0.5000 (multiplicity 2)
Ag 0.0000 0.5000 0.2500 (multiplicity 4)
S 0.2202 0.2202 0.8886 (multiplicity 8)

(4)
Computed, not measured: AsAuS after structural relaxation at the PBE level of DFT.

## Properties
DOS(E_F)	1.24	states/eV per cell
energy relative to the elements, uncorrected	0.09	eV per atom
total moment	0.000	μB per cell

abc: 3.7501 3.7501 4.7143
angles: 90.00 90.00 120.00
Space group P3m1 (No. 156)
Unique sites:
As 0.0000 0.0000 0.0000 (multiplicity 1)
Au 0.3333 0.6667 0.6797 (multiplicity 1)
S 0.6667 0.3333 0.3569 (multiplicity 1)

Copy entry 1 word for word.
Computed, not measured: Pr2YZn2 after structural relaxation at the PBE level of DFT.

## Properties
DOS(E_F)	12.72	states/eV per cell
offset from the most stable computed form	57	meV per atom
total moment	0.001	μB per cell
DFT formation energy	-145	meV per atom

abc: 4.6262 4.3990 13.6770
angles: 90.00 99.23 90.00
Space group P2_1/m (No. 11)
Unique sites:
Pr 0.0537 0.2500 0.1108 (multiplicity 2)
Pr 0.2633 0.7500 0.5288 (multiplicity 2)
Y 0.3643 0.2500 0.7305 (multiplicity 2)
Zn 0.1696 0.2500 0.3324 (multiplicity 2)
Zn 0.4759 0.2500 0.9497 (multiplicity 2)